(1)
Here is an optimized crystal structure of CdGe2Pb from Alexandria via LeMat-Bulk. Energies are from PBE-GGA.

Properties
Formation enthalpy at 0 K in eV per atom: 0.2793
Symmetry: Fm-3m, No. 225
Volume in Å³ per atom: 23.77

Geometry as extended XYZ:
```
4
Lattice="0.000 3.623 3.623 3.623 0.000 3.623 3.623 3.623 0.000" Properties=species:S:1:pos:R:3 pbc="T T T"
Cd 0.000 0.000 0.000
Ge 1.811 1.811 1.811
Ge 5.434 5.434 5.434
Pb 3.623 3.623 3.623
```

---

(2)
Here is an optimized crystal structure of Cd2GePb from Alexandria via LeMat-Bulk. Energies are from PBE-GGA.

Properties
Formation enthalpy at 0 K in eV per atom: 0.1512
Symmetry: P4/mmm, No. 123
Volume in Å³ per atom: 24.53

Geometry as extended XYZ:
```
4
Lattice="3.559 0.000 0.000 0.000 3.559 0.000 0.000 0.000 7.744" Properties=species:S:1:pos:R:3 pbc="T T T"
Cd 0.000 0.000 1.650
Cd 0.000 0.000 6.093
Ge 1.780 1.780 0.000
Pb 1.780 1.780 3.872
```

---

(3)
Here is an optimized crystal structure of CdGePb2 from Alexandria via LeMat-Bulk. Energies are from PBE-GGA.

Properties
Formation enthalpy at 0 K in eV per atom: 0.1570
Symmetry: Fm-3m, No. 225
Volume in Å³ per atom: 26.69

Geometry as extended XYZ:
```
4
Lattice="0.000 3.765 3.765 3.765 0.000 3.765 3.765 3.765 0.000" Properties=species:S:1:pos:R:3 pbc="T T T"
Cd 0.000 0.000 0.000
Ge 3.765 3.765 3.765
Pb 1.883 1.883 1.883
Pb 5.648 5.648 5.648
```

---

(4)
Here is an optimized crystal structure of CdGePbS4 from Alexandria via LeMat-Bulk. Energies are from PBE-GGA.

Properties
Raw formation energy in kJ/mol of formula units: -249
Symmetry: P2_1/m, No. 11
Volume in Å³ per atom: 24.16

Geometry as extended XYZ:
```
14
Lattice="6.493 0.000 0.000 0.000 6.915 0.000 -1.969 0.000 7.531" Properties=species:S:1:pos:R:3 pbc="T T T"
Cd 0.811 1.729 3.078
Cd 3.713 5.186 4.453
Ge 0.384 5.186 5.149
Ge 4.140 1.729 2.382
Pb -0.057 1.729 7.181
Pb 4.581 5.186 0.350
S -0.592 5.186 3.163
S -1.133 5.186 6.758
S 2.682 0.044 2.004
S 2.682 3.413 2.004
S 1.842 3.502 5.527
S 1.842 6.871 5.527
S 5.657 1.729 0.773
S 5.116 1.729 4.369
```

---

(5)
Here is an optimized crystal structure of CdGe2PbS6 from Alexandria via LeMat-Bulk. Energies are from PBE-GGA.

Properties
Raw formation energy in kJ/mol of formula units: -345
Symmetry: C2/c, No. 15
Volume in Å³ per atom: 25.88

Geometry as extended XYZ:
```
20
Lattice="6.412 -6.370 0.000 6.412 6.370 0.000 -1.861 0.000 6.337" Properties=species:S:1:pos:R:3 pbc="T T T"
Cd 5.017 3.607 4.752
Cd 5.947 -3.607 1.584
Ge 1.240 0.959 4.638
Ge 2.170 -0.959 1.469
Ge 8.794 0.959 4.867
Ge 9.724 -0.959 1.699
Pb 5.947 1.379 1.584
Pb 5.017 -1.379 4.752
S 1.695 0.792 0.109
S 3.933 3.447 2.546
S 0.765 -0.792 3.277
S 3.408 1.074 5.090
S 7.961 3.447 0.622
S 4.338 -1.074 1.922
S 6.626 1.074 4.415
S 3.002 -3.447 5.715
S 7.556 -1.074 1.246
S 10.199 0.792 3.059
S 7.031 -3.447 3.790
S 9.269 -0.792 6.228
```

---

(6)
Here is an optimized crystal structure of CdGePbSe4 from Alexandria via LeMat-Bulk. Energies are from PBE-GGA.

Properties
Raw formation energy in kJ/mol of formula units: -226
Symmetry: P2_1/m, No. 11
Volume in Å³ per atom: 27.95

Geometry as extended XYZ:
```
14
Lattice="6.733 0.000 0.000 0.000 7.382 0.000 -1.807 0.000 7.873" Properties=species:S:1:pos:R:3 pbc="T T T"
Cd 0.789 1.845 2.975
Cd 4.136 5.536 4.898
Ge 0.618 5.536 5.385
Ge 4.308 1.845 2.488
Pb 0.260 1.845 7.600
Pb 4.666 5.536 0.273
Se -0.518 5.536 3.300
Se -0.893 5.536 7.224
Se 2.743 0.047 2.069
Se 2.743 3.644 2.069
Se 2.183 3.738 5.804
Se 2.183 7.335 5.804
Se 5.819 1.845 0.649
Se 5.444 1.845 4.573
```

---

(7)
Here is an optimized crystal structure of CdSnGePb from Alexandria via LeMat-Bulk. Energies are from PBE-GGA.

Properties
Formation enthalpy at 0 K in eV per atom: 0.1930
Symmetry: F-43m, No. 216
Volume in Å³ per atom: 25.83

Geometry as extended XYZ:
```
4
Lattice="0.000 3.724 3.724 3.724 0.000 3.724 3.724 3.724 0.000" Properties=species:S:1:pos:R:3 pbc="T T T"
Cd 0.000 0.000 0.000
Sn 1.862 1.862 1.862
Ge 3.724 3.724 3.724
Pb 5.586 5.586 5.586
```

---

(8)
Here is an optimized crystal structure of Ta2CdGePb from Alexandria via LeMat-Bulk. Energies are from PBE-GGA.

Properties
Formation enthalpy at 0 K in eV per atom: 1.8079
Symmetry: P4/mmm, No. 123
Volume in Å³ per atom: 26.04

Geometry as extended XYZ:
```
5
Lattice="5.198 0.000 0.000 0.000 5.198 0.000 0.000 0.000 4.818" Properties=species:S:1:pos:R:3 pbc="T T T"
Ta 0.000 2.599 0.000
Ta 2.599 0.000 0.000
Cd 0.000 0.000 0.000
Ge 0.000 0.000 2.409
Pb 2.599 2.599 2.409
```

---

(9)
Here is an optimized crystal structure of TlCdGePb from Alexandria via LeMat-Bulk. Energies are from PBE-GGA.

Properties
Formation enthalpy at 0 K in eV per atom: 0.1652
Symmetry: F-43m, No. 216
Volume in Å³ per atom: 26.39

Geometry as extended XYZ:
```
4
Lattice="0.000 3.751 3.751 3.751 0.000 3.751 3.751 3.751 0.000" Properties=species:S:1:pos:R:3 pbc="T T T"
Tl 0.000 0.000 0.000
Cd 5.626 5.626 5.626
Ge 1.875 1.875 1.875
Pb 3.751 3.751 3.751
```

---

(10)
Here is an optimized crystal structure of ZnCdGePb from Alexandria via LeMat-Bulk. Energies are from PBE-GGA.

Properties
Formation enthalpy at 0 K in eV per atom: 0.1982
Symmetry: F-43m, No. 216
Volume in Å³ per atom: 23.29

Geometry as extended XYZ:
```
4
Lattice="0.000 3.598 3.598 3.598 0.000 3.598 3.598 3.598 0.000" Properties=species:S:1:pos:R:3 pbc="T T T"
Zn 0.000 0.000 0.000
Cd 5.397 5.397 5.397
Ge 3.598 3.598 3.598
Pb 1.799 1.799 1.799
```

---

(11)
Here is an optimized crystal structure of Zr2CdGePb from Alexandria via LeMat-Bulk. Energies are from PBE-GGA.

Properties
Formation enthalpy at 0 K in eV per atom: 0.4311
Symmetry: P4/mmm, No. 123
Volume in Å³ per atom: 28.19

Geometry as extended XYZ:
```
5
Lattice="5.109 0.000 0.000 0.000 5.109 0.000 0.000 0.000 5.400" Properties=species:S:1:pos:R:3 pbc="T T T"
Zr 0.000 2.554 0.000
Zr 2.554 0.000 0.000
Cd 0.000 0.000 2.700
Ge 2.554 2.554 0.000
Pb 2.554 2.554 2.700
```

---

(12)
Here is an optimized crystal structure of Cd3GePd4 from Alexandria via LeMat-Bulk. Energies are from PBE-GGA.

Properties
Formation enthalpy at 0 K in eV per atom: -0.3641
Symmetry: I4/mmm, No. 139
Volume in Å³ per atom: 17.02

Geometry as extended XYZ:
```
8
Lattice="-2.224 2.224 6.881 2.224 -2.224 6.881 2.224 2.224 -6.881" Properties=species:S:1:pos:R:3 pbc="T T T"
Cd 0.000 0.000 0.000
Cd 0.000 0.000 3.430
Cd 0.000 0.000 10.332
Ge 0.000 0.000 6.881
Pd 2.224 0.000 1.594
Pd 2.224 0.000 5.287
Pd 0.000 2.224 1.594
Pd 0.000 2.224 5.287
```